Here is crystalline BaNa2MoCl8 at its relaxed geometry from the Alexandria database. Energies are from GGA-PBE.

## Properties
Raw formation energy in eV/atom: -1.531
SG: P-1, No. 2
Total magnetic moment in Bohr magnetons per cell: 2.00
Raw total energy in eV/atom: -4.044

Lattice parameters (Å, degrees): 6.401 6.583 8.768 85.15 86.86 86.59
Site moments in Bohr magnetons follow the coordinates.
Fractional coordinates of all 12 atoms:
Na1 0.538 0.548 0.267  0.00
Ba1 0.000 0.000 0.500  0.01
Cl1 0.348 0.287 0.481  0.00
Cl2 0.151 0.773 0.204  0.02
Cl3 0.713 0.791 0.004  -0.01
Na2 0.462 0.452 0.733  0.00
Cl4 0.182 0.797 0.810  0.01
Cl5 0.652 0.713 0.519  0.00
Cl6 0.849 0.227 0.796  0.02
Mo1 0.000 0.000 0.000  1.69
Cl7 0.287 0.209 0.996  -0.01
Cl8 0.818 0.203 0.190  0.01